Below is a geometry-optimized RbTi2NbAg structure, with properties calculated at the GGA-PBE level.

Cell and atoms, written as extended XYZ:
```
5
Lattice="4.844 0.000 0.000 0.000 4.844 0.000 0.000 0.000 5.766" Properties=species:S:1:pos:R:3 pbc="T T T"
Rb 0.000 0.000 0.000
Ti 0.000 2.422 2.883
Ti 2.422 0.000 2.883
Nb 2.422 2.422 2.883
Ag 2.422 2.422 0.000
```

Summary:
V ... 27.1 A^3/atom
Energy of formation ... 0.976 eV per atom